Entry 1:
Here is a geometry-optimized FePbS2O structure from the Alexandria database. Energies are from PBEsol.

Output
Calculated total energy (eV/atom): -4.7722

POSCAR file:
```
FePbS2O
1.0
4.213 0.000 0.000
0.000 4.213 0.000
0.000 0.000 4.774
O S Pb Fe
1 2 1 1
direct
0.000 0.000 0.000
0.000 0.500 0.000
0.500 0.000 0.000
0.000 0.000 0.500
0.500 0.500 0.500
```

=====

Entry 2:
Here is a geometry-optimized CeHg structure from the Alexandria database. Energies are from PBEsol.

Output
Calculated total energy (eV/atom): -3.8531
E_form (eV/atom): -0.27

POSCAR file:
```
CeHg
1.0
-0.714 0.745 -3.594
3.346 -1.373 -0.949
-1.509 -3.398 -0.404
Hg Ce
1 1
direct
0.000 0.000 0.000
0.500 0.500 0.500
```

=====

Entry 3:
Here is a geometry-optimized Mg2AlAg structure from the Alexandria database. Energies are from PBEsol.

Output
Calculated total energy (eV/atom): -2.7605
E_form (eV/atom): -0.05

POSCAR file:
```
Mg2AlAg
1.0
4.159 0.000 0.000
0.000 4.159 0.000
-2.080 -2.080 4.260
Mg Ag Al
2 1 1
direct
0.000 0.000 0.000
0.750 0.250 0.500
0.500 0.500 0.000
0.250 0.750 0.500
```

=====

What did the second record say?
Here is a geometry-optimized CeHg structure from the Alexandria database. Energies are from PBEsol.

Output
Calculated total energy (eV/atom): -3.8531
E_form (eV/atom): -0.27

POSCAR file:
```
CeHg
1.0
-0.714 0.745 -3.594
3.346 -1.373 -0.949
-1.509 -3.398 -0.404
Hg Ce
1 1
direct
0.000 0.000 0.000
0.500 0.500 0.500
```